# 1
DFT (PBE) results for Tl3InPd7 after structural relaxation.

Lattice parameters (Å, degrees): 5.457 7.312 7.312 83.47 119.73 119.73
Positions (direct):
Tl1 0.000 0.777 0.223
Tl2 0.500 0.000 0.000
Tl3 0.000 0.223 0.777
In1 0.500 0.500 0.500
Pd1 0.367 0.205 0.205
Pd2 0.335 0.080 0.581
Pd3 0.665 0.419 0.920
Pd4 0.335 0.581 0.080
Pd5 0.000 0.500 0.500
Pd6 0.665 0.920 0.419
Pd7 0.633 0.795 0.795

Calculated values
total DFT energy (no corrections)	-4.30	eV/atom
D(E_F)	5.43	states/eV per cell
symmetry	C2/m, No. 12
size of the total moment	0.0	μB per formula unit

---

# 2
DFT (PBE) results for Tl2AgPb after structural relaxation.

Lattice parameters (Å, degrees): 6.613 6.613 6.613 149.33 130.31 59.53
Positions (direct):
Pb1 0.282 0.782 0.500
Tl1 0.001 0.001 0.000
Tl2 0.718 0.218 0.500
Ag1 0.499 0.499 0.000

Calculated values
total DFT energy (no corrections)	-2.74	eV/atom
D(E_F)	1.60	states/eV per cell
symmetry	Imm2, No. 44
size of the total moment	0.0	μB per formula unit

---

# 3
DFT (PBE) results for Y2CrRe after structural relaxation.

Lattice parameters (Å, degrees): 4.865 4.865 4.865 60.00 60.00 60.00
Each line ends with the local moment (μB).
Positions (direct):
Cr1 0.500 0.500 0.500  2.93
Re1 0.750 0.750 0.750  -0.62
Y1 0.000 0.000 0.000  -0.03
Y2 0.250 0.250 0.250  0.16

Calculated values
total DFT energy (no corrections)	-8.21	eV/atom
D(E_F)	4.54	states/eV per cell
symmetry	F-43m, No. 216
size of the total moment	2.7	μB per formula unit

---

# 4
DFT (PBE) results for Zn2InAs after structural relaxation.

Lattice parameters (Å, degrees): 6.587 6.587 6.591 60.02 60.02 90.00
Positions (direct):
As1 0.500 0.500 0.000
As2 0.250 0.750 0.500
Zn1 0.577 0.125 0.250
Zn2 0.173 0.625 0.250
Zn3 0.375 0.423 0.750
Zn4 0.875 0.827 0.750
In1 0.000 0.000 0.000
In2 0.750 0.250 0.500

Calculated values
total DFT energy (no corrections)	-2.35	eV/atom
D(E_F)	0.98	states/eV per cell
symmetry	I-42d, No. 122
size of the total moment	0.0	μB per formula unit

---

# 5
DFT (PBE) results for Nd12Sb6Pd after structural relaxation.

Lattice parameters (Å, degrees): 8.884 8.884 8.884 99.83 99.83 99.83
Positions (direct):
Nd1 0.808 0.582 0.444
Nd2 0.444 0.808 0.582
Nd3 0.582 0.444 0.808
Nd4 0.192 0.418 0.556
Nd5 0.556 0.192 0.418
Nd6 0.418 0.556 0.192
Nd7 0.055 0.977 0.320
Nd8 0.023 0.680 0.945
Nd9 0.680 0.945 0.023
Nd10 0.945 0.023 0.680
Nd11 0.977 0.320 0.055
Nd12 0.320 0.055 0.977
Sb1 0.685 0.876 0.363
Sb2 0.637 0.315 0.124
Sb3 0.124 0.637 0.315
Sb4 0.315 0.124 0.637
Sb5 0.363 0.685 0.876
Sb6 0.876 0.363 0.685
Pd1 0.000 0.000 0.000

Calculated values
raw formation energy	-0.6818	eV per atom
D(E_F)	17.32	states/eV per cell
symmetry	R-3, No. 148
size of the total moment	0.0	μB per formula unit

---

# 6
DFT (PBE) results for Ho2Er3Sc7 after structural relaxation.

Lattice parameters (Å, degrees): 3.508 5.246 18.887 90.00 95.33 90.00
Each line ends with the local moment (μB).
Positions (direct):
Ho1 0.363 0.500 0.727  -0.02
Ho2 0.637 0.500 0.273  -0.02
Er1 0.500 0.500 0.000  0.00
Er2 0.827 0.000 0.655  0.03
Er3 0.173 0.000 0.345  0.03
Sc1 0.284 0.500 0.567  -0.41
Sc2 0.716 0.500 0.433  -0.41
Sc3 0.418 0.000 0.837  0.00
Sc4 0.000 0.000 0.000  0.01
Sc5 0.582 0.000 0.163  0.00
Sc6 0.067 0.500 0.134  0.00
Sc7 0.933 0.500 0.866  0.00

Calculated values
total DFT energy (no corrections)	-5.34	eV/atom
D(E_F)	20.44	states/eV per cell
symmetry	P2/m, No. 10
size of the total moment	1.3	μB per formula unit

---

# 7
DFT (PBE) results for Tc3GeS after structural relaxation.

Lattice parameters (Å, degrees): 4.362 4.362 4.362 90.00 90.00 90.00
Each line ends with the local moment (μB).
Positions (direct):
S1 0.000 0.000 0.000  -0.01
Ge1 0.500 0.500 0.500  0.00
Tc1 0.000 0.500 0.000  0.42
Tc2 0.000 0.000 0.500  0.49
Tc3 0.500 0.000 0.000  0.42

Calculated values
raw formation energy	0.5816	eV per atom
D(E_F)	5.09	states/eV per cell
symmetry	Pm-3m, No. 221
size of the total moment	1.4	μB per formula unit

---

# 8
DFT (PBE) results for NaPuCdHg after structural relaxation.

Lattice parameters (Å, degrees): 5.304 5.304 5.304 60.00 60.00 60.00
Each line ends with the local moment (μB).
Positions (direct):
Na1 0.500 0.500 0.500  0.01
Cd1 0.750 0.750 0.750  0.04
Hg1 0.250 0.250 0.250  0.05
Pu1 0.000 0.000 0.000  5.57

Calculated values
total DFT energy (no corrections)	-4.22	eV/atom
D(E_F)	14.04	states/eV per cell
symmetry	F-43m, No. 216
size of the total moment	6.2	μB per formula unit